Entry from Alexandria via LeMat-Bulk: a geometry-optimized Ti2CdPdW structure (PBEsol).

- Crystal system: tetragonal
- Magnetic moment: 0.0001 μB per atom
- Formation energy: 1.256 eV per atom

Lattice parameters (Å, degrees): 4.585 4.585 4.787 90.00 90.00 90.00
Element x y z (fractional)
Ti 0.000 0.500 0.000
Ti 0.500 0.000 0.000
Cd 0.000 0.000 0.500
Pd 0.000 0.000 0.000
W 0.500 0.500 0.500